# 1
# VP2Pb2

VP2Pb2 after structural relaxation (PBE, Alexandria).

a b c (Å): 6.3504 6.3504 5.3802
angles (deg): 90.00 90.00 90.00
Closest atoms and distances in Å follow each position.
Positions (direct):
P (0.3746, 0.8746, 0.0000)  1 P 2.25, 2 V 2.51
Pb (0.6939, 0.8061, 0.5000)  6 P 3.14-3.40, 5 Pb 3.25-3.48
V (0.0000, 0.0000, 0.0000)  4 P 2.51
Pb (0.1939, 0.6939, 0.5000)  6 P 3.14-3.40, 5 Pb 3.25-3.48
P (0.8746, 0.6254, 0.0000)  1 P 2.25, 2 V 2.51
Pb (0.8061, 0.3061, 0.5000)  6 P 3.14-3.40, 5 Pb 3.25-3.48
Pb (0.3061, 0.1939, 0.5000)  6 P 3.14-3.40, 5 Pb 3.25-3.48
V (0.5000, 0.5000, 0.0000)  4 P 2.51
P (0.1254, 0.3746, 0.0000)  1 P 2.25, 2 V 2.51
P (0.6254, 0.1254, 0.0000)  1 P 2.25, 2 V 2.51

Values from the calculation:
- Space-group type: P4/mbm
- Energy of formation: 0.21 eV/f.u.



# 2
# CoAgSb

CoAgSb after structural relaxation (PBE, Alexandria).

a b c (Å): 3.1744 3.1744 6.4082
angles (deg): 90.00 90.00 120.00
Closest atoms and distances in Å follow each position.
Positions (direct):
Sb (0.3333, 0.6667, 0.6215)  3 Co 2.54
Co (0.6667, 0.3333, 0.3474)  3 Sb 2.54, 3 Ag 2.73
Ag (0.0000, 0.0000, 0.0311)  3 Co 2.73

Values from the calculation:
- Formation energy without anion corrections: 0.363 eV/atom
- Space-group type: P3m1



# 3
# AsPAu

AsPAu after structural relaxation (PBE, Alexandria).

a b c (Å): 4.4012 4.4012 4.4012
angles (deg): 60.00 60.00 60.00
Closest atoms and distances in Å follow each position.
Positions (direct):
Au (0.5000, 0.5000, 0.5000)  4 P 2.70
P (0.7500, 0.7500, 0.7500)  4 As 2.70, 4 Au 2.70
As (0.0000, 0.0000, 0.0000)  4 P 2.70

Values from the calculation:
- Space-group type: F-43m
- Energy of formation: 1.26 eV/f.u.



# 4
# Y4GaPd2

Y4GaPd2 after structural relaxation (PBE, Alexandria).

a b c (Å): 4.9718 4.9718 8.5857
angles (deg): 73.17 73.17 60.00
Closest atoms and distances in Å follow each position.
Positions (direct):
Pd (0.7491, 0.7491, 0.7526)  8 Y 3.00-3.11
Ga (0.0000, 0.0000, 0.0000)  8 Y 3.08
Y (0.6212, 0.6212, 0.1364)  4 Pd 3.01-3.11, 3 Ga 3.08
Pd (0.2509, 0.2509, 0.2474)  8 Y 3.00-3.11
Y (0.8729, 0.8729, 0.3812)  4 Pd 3.00-3.07, 1 Ga 3.08
Y (0.3788, 0.3788, 0.8636)  4 Pd 3.01-3.11, 3 Ga 3.08
Y (0.1271, 0.1271, 0.6188)  4 Pd 3.00-3.07, 1 Ga 3.08

Values from the calculation:
- Space-group type: R-3m
- Energy of formation: -4.38 eV/f.u.



# 5
# Be2CuP

Be2CuP after structural relaxation (PBE, Alexandria).

a b c (Å): 7.2176 7.2176 7.2176
angles (deg): 21.17 21.17 21.17
Closest atoms and distances in Å follow each position.
Positions (direct):
P (0.7500, 0.7500, 0.7500)  6 Be 2.32
Cu (0.2500, 0.2500, 0.2500)  6 Be 2.35
Be (0.4988, 0.4988, 0.4988)  3 P 2.32, 3 Cu 2.35
Be (0.0012, 0.0012, 0.0012)  3 P 2.32, 3 Cu 2.35

Values from the calculation:
- Space-group type: R-3m
- Energy of formation: 0.84 eV/f.u.



# 6
# Zn2InSe

Zn2InSe after structural relaxation (PBE, Alexandria).

a b c (Å): 4.9599 4.9599 4.9599
angles (deg): 60.00 60.00 60.00
Closest atoms and distances in Å follow each position.
Positions (direct):
Zn (0.2500, 0.2500, 0.2500)  4 In 3.04, 4 Se 3.04
In (0.5000, 0.5000, 0.5000)  8 Zn 3.04
Zn (0.7500, 0.7500, 0.7500)  4 In 3.04, 4 Se 3.04
Se (0.0000, 0.0000, 0.0000)  8 Zn 3.04

Values from the calculation:
- Formation energy without anion corrections: 0.149 eV/atom
- Space-group type: Fm-3m



# 7
# La2BiPRh6

La2BiPRh6 after structural relaxation (PBE, Alexandria).

a b c (Å): 5.8046 7.9572 8.8340
angles (deg): 90.00 90.00 90.00
Closest atoms and distances in Å follow each position.
Positions (direct):
P (0.0000, 0.7841, 0.0000)  6 Rh 2.23-2.36
La (0.5000, 0.7305, 0.2574)  5 Rh 2.94-3.20
Rh (0.7656, 0.0085, 0.5000)  1 P 2.26
Rh (0.7558, 0.4247, 0.5000)  1 P 2.23
Rh (0.2344, 0.0085, 0.5000)  1 P 2.26
La (0.0000, 0.2695, 0.2426)  5 Rh 2.94-3.20
Rh (0.7442, 0.5753, 0.0000)  1 P 2.23
Rh (0.2442, 0.4247, 0.5000)  1 P 2.23
Bi (0.0000, 0.7074, 0.5000)  6 Rh 2.66-2.76
Rh (0.5000, 0.0999, 0.2543)  1 P 2.36
Rh (0.0000, 0.9001, 0.2457)  1 P 2.36
Bi (0.5000, 0.2926, 0.0000)  6 Rh 2.66-2.76
Rh (0.5000, 0.0999, 0.7457)  1 P 2.36
P (0.5000, 0.2159, 0.5000)  6 Rh 2.23-2.36
Rh (0.2656, 0.9915, 0.0000)  1 P 2.26
Rh (0.7344, 0.9915, 0.0000)  1 P 2.26
Rh (0.0000, 0.9001, 0.7543)  1 P 2.36
La (0.0000, 0.2695, 0.7574)  5 Rh 2.94-3.20
La (0.5000, 0.7305, 0.7426)  5 Rh 2.94-3.20
Rh (0.2558, 0.5753, 0.0000)  1 P 2.23

Values from the calculation:
- Space-group type: Pmmn
- Energy of formation: -6.10 eV/f.u.



# 8
# GaI

GaI after structural relaxation (PBE, Alexandria).

a b c (Å): 4.2485 4.2001 11.8064
angles (deg): 118.14 90.00 120.38
Closest atoms and distances in Å follow each position.
Positions (direct):
Ga (0.1209, 0.2418, 0.9463)  1 I 2.51, 3 Ga 2.65-2.67
Ga (0.8791, 0.7582, 0.0537)  1 I 2.51, 3 Ga 2.65-2.67
I (0.8931, 0.7863, 0.6920)  1 Ga 2.51
I (0.1069, 0.2137, 0.3080)  1 Ga 2.51

Values from the calculation:
- Formation energy without anion corrections: -0.188 eV/atom
- Space-group type: C2/m



# 9
# PrHg4Pb

PrHg4Pb after structural relaxation (PBE, Alexandria).

a b c (Å): 5.1431 6.2311 11.2836
angles (deg): 74.42 90.00 114.37
Closest atoms and distances in Å follow each position.
Positions (direct):
Pr (0.2500, 0.0000, 0.2500)  2 Pb 3.36, 12 Hg 3.40-3.51
Pr (0.7500, 0.0000, 0.7500)  2 Pb 3.36, 12 Hg 3.40-3.51
Hg (0.0456, 0.5912, 0.7881)  4 Hg 2.99-3.26
Hg (0.9544, 0.4088, 0.2119)  4 Hg 2.99-3.26
Hg (0.7117, 0.9234, 0.4545)  4 Hg 2.99-3.26
Hg (0.2117, 0.9234, 0.9545)  4 Hg 2.99-3.26
Hg (0.5456, 0.5912, 0.2881)  4 Hg 2.99-3.26
Pb (0.0000, 0.5000, 0.5000)  2 Pr 3.36, 12 Hg 3.44-3.46
Hg (0.7883, 0.0766, 0.0455)  4 Hg 2.99-3.26
Hg (0.4544, 0.4088, 0.7119)  4 Hg 2.99-3.26
Hg (0.2883, 0.0766, 0.5455)  4 Hg 2.99-3.26
Pb (0.5000, 0.5000, 0.0000)  2 Pr 3.36, 12 Hg 3.44-3.46

Values from the calculation:
- Space-group type: C2/m
- Energy of formation: -1.55 eV/f.u.



# 10
# Sr4AuCl

Sr4AuCl after structural relaxation (PBE, Alexandria).

a b c (Å): 7.4254 7.4254 7.4254
angles (deg): 60.00 60.00 60.00
Closest atoms and distances in Å follow each position.
Positions (direct):
Sr (0.3756, 0.3756, 0.3756)  6 Sr 3.70-3.73
Cl (0.0000, 0.0000, 0.0000)  12 Sr 4.36, 4 Au 4.55
Sr (0.8732, 0.3756, 0.3756)  6 Sr 3.70-3.73
Sr (0.3756, 0.8732, 0.3756)  6 Sr 3.70-3.73
Au (0.7500, 0.7500, 0.7500)  12 Sr 4.35, 4 Cl 4.55
Sr (0.3756, 0.3756, 0.8732)  6 Sr 3.70-3.73

Values from the calculation:
- Formation energy without anion corrections: 0.134 eV/atom
- Space-group type: F-43m



# 11
# Sc4Pb2O

Sc4Pb2O after structural relaxation (PBE, Alexandria).

a b c (Å): 6.0156 6.2903 8.7226
angles (deg): 90.00 110.58 90.00
Closest atoms and distances in Å follow each position.
Positions (direct):
Sc (0.5598, 0.4998, 0.3040)  1 O 2.07
O (0.6744, 0.2500, 0.7799)  4 Sc 2.03-2.08
Sc (0.0866, 0.7500, 0.3359)  1 O 2.03
Sc (0.4402, 0.5002, 0.6960)  1 O 2.07
O (0.3256, 0.7500, 0.2201)  4 Sc 2.03-2.08
Pb (0.2949, 0.2500, 0.9804)  7 Sc 2.90-3.22
Sc (0.5598, 0.0002, 0.3040)  1 O 2.07
Sc (0.1747, 0.7500, 0.9660)  1 O 2.08
Sc (0.9134, 0.2500, 0.6641)  1 O 2.03
Sc (0.4402, 0.9998, 0.6960)  1 O 2.07
Pb (0.1316, 0.2500, 0.3905)  8 Sc 3.01-3.32
Pb (0.7051, 0.7500, 0.0196)  7 Sc 2.90-3.22
Pb (0.8684, 0.7500, 0.6095)  8 Sc 3.01-3.32
Sc (0.8253, 0.2500, 0.0340)  1 O 2.08

Values from the calculation:
- Formation energy without anion corrections: -1.153 eV/atom
- Space-group type: P2_1/m



# 12
# Y2NiTe

Y2NiTe after structural relaxation (PBE, Alexandria).

a b c (Å): 7.5859 7.5859 6.5086
angles (deg): 54.36 54.36 90.00
Closest atoms and distances in Å follow each position.
Positions (direct):
Te (0.7500, 0.2500, 0.5000)  4 Y 3.08
Ni (0.5000, 0.5000, 0.0000)  4 Y 2.61
Ni (0.2500, 0.7500, 0.5000)  4 Y 2.61
Te (0.0000, 0.0000, 0.0000)  4 Y 3.08
Y (0.1717, 0.6250, 0.2500)  2 Ni 2.61
Y (0.3750, 0.4217, 0.7500)  2 Ni 2.61
Y (0.5783, 0.1250, 0.2500)  2 Ni 2.61
Y (0.8750, 0.8283, 0.7500)  2 Ni 2.61

Values from the calculation:
- Formation energy without anion corrections: -0.512 eV/atom
- Space-group type: I-42d



- Which formula does entry 3 have?
  AsPAu